! Tb3Al3CuIr2 PBE optimized geometry; values from VASP
&SYSTEM
  ibrav = 0, nat = 9, ntyp = 4
/
ATOMIC_SPECIES
Tb 158.93 Tb.upf
Al 26.98 Al.upf
Cu 63.55 Cu.upf
Ir 192.22 Ir.upf
CELL_PARAMETERS angstrom
6.9844 0.0000 0.0000
-3.4922 6.0487 0.0000
0.0000 0.0000 4.0878
ATOMIC_POSITIONS crystal
Tb 0.0000 0.4160 0.0000
Tb 0.4160 0.0000 0.0000
Tb 0.5840 0.5840 0.0000
Al 0.0000 0.7600 0.5000
Al 0.2400 0.2400 0.5000
Al 0.7600 0.0000 0.5000
Cu 0.0000 0.0000 0.0000
Ir 0.3333 0.6667 0.5000
Ir 0.6667 0.3333 0.5000
! **Spin magnetization**: 0.00 μB per formula unit
! **Symmetry**: P-62m
! **Total DFT energy (no corrections)**: -53.188 eV/cell